## MnTlF3 (GGA+U)

Data for crystalline MnTlF3 at its relaxed geometry.

Summary:
The value obtained for the final energy is -5.400 eV/atom. As for the theoretical density: 6.07 g/cm³.

POSCAR file:
```
MnTlF3
1.0
9.7333 0.3924 -0.0642
-1.0905 4.0394 0.5924
0.3817 -0.5486 4.2734
Tl Mn F
2 2 6
direct
0.9866 0.2163 0.3201 Tl
0.2732 0.8583 0.8386 Tl
0.4958 0.4687 0.3497 Mn
0.7640 0.6056 0.8087 Mn
0.7280 0.5870 0.3112 F
0.2724 0.3561 0.4518 F
0.7855 0.1166 0.7980 F
0.4743 0.9579 0.3609 F
0.5318 0.4871 0.8474 F
0.9874 0.7186 0.7065 F
```